First-principles (PBE-GGA) data for an optimized crystal structure of LiTb8Co2, as listed in Alexandria.

## Properties
- Final energy: -4.816 eV/atom
- Symmetry: Cm, No. 8

Unit cell a=5.6044 b=7.7517 c=7.7517 alpha=114.39 beta=97.13 gamma=97.13
Closest atoms and distances in Å follow each position.
Fractional positions:
Co1 0.5000 0.7027 0.3035  6 Tb 2.77-2.88
Co2 0.5000 0.3035 0.7027  6 Tb 2.77-2.88
Tb1 0.0001 0.2523 0.7542  2 Co 2.88
Tb2 0.5805 0.3388 0.0766  2 Co 2.77
Tb3 0.4196 0.9298 0.6676  2 Co 2.77
Tb4 0.4196 0.6676 0.9298  2 Co 2.77
Tb5 0.5805 0.0766 0.3388  2 Co 2.77
Tb6 0.7950 0.6100 0.6100  2 Co 3.10, 4 Tb 3.22-3.39, 1 Li 3.23
Tb7 0.0001 0.7542 0.2523  2 Co 2.88
Tb8 0.2044 0.3958 0.3958  2 Co 3.10, 4 Tb 3.22-3.39, 1 Li 3.24
Li1 0.9998 0.0026 0.0026  4 Tb 3.23-3.25

***

First-principles (PBE-GGA) data for an optimized crystal structure of LiTbCo, as listed in Alexandria.

## Properties
- Final energy: -4.536 eV/atom
- Symmetry: C2/m, No. 12

Unit cell a=3.8444 b=5.1363 c=6.5275 alpha=97.99 beta=107.13 gamma=90.00
Closest atoms and distances in Å follow each position.
Fractional positions:
Co1 0.2374 0.8878 0.4747  2 Co 2.24, 1 Li 2.48
Co2 0.7626 0.1122 0.5253  2 Co 2.24, 1 Li 2.48
Tb1 0.1371 0.3521 0.2742  4 Co 2.85-2.87
Tb2 0.8629 0.6479 0.7258  4 Co 2.85-2.87
Li1 0.5865 0.8160 0.1730  3 Co 2.48-2.68
Li2 0.4135 0.1840 0.8270  3 Co 2.48-2.68